Entry 1:
Here is AlHg2Bi after structural relaxation from Alexandria via LeMat-Bulk. Energies are from PBE.

Cell: 8.214 8.214 6.570 Å, 51.31 51.31 90.00°
Sites, in units of the cell vectors:
Al 0.500 0.500 0.000
Al 0.250 0.750 0.500
Bi 0.000 0.000 0.000
Bi 0.750 0.250 0.500
Hg 0.589 0.125 0.250
Hg 0.161 0.625 0.250
Hg 0.375 0.411 0.750
Hg 0.875 0.839 0.750

Computed properties:
DOS at the Fermi energy   1.95 states/eV/f.u.
SG   I-42d, No. 122
Total DFT energy (no corrections)   -1.884 eV per atom
Magnetic moment   0.00 μB per formula unit

=====

Entry 2:
Here is Al5Hg12Bi3 after structural relaxation from Alexandria via LeMat-Bulk. Energies are from PBE.

Cell: 14.469 14.469 14.469 Å, 109.47 109.47 109.47°
Sites, in units of the cell vectors:
Bi 0.750 0.375 0.125
Bi 0.875 0.750 0.125
Bi 0.375 0.750 0.625
Bi 0.250 0.125 0.375
Bi 0.875 0.125 0.250
Bi 0.375 0.625 0.250
Bi 0.625 0.375 0.750
Bi 0.125 0.875 0.750
Bi 0.750 0.875 0.625
Bi 0.625 0.250 0.375
Bi 0.125 0.250 0.875
Bi 0.250 0.625 0.875
Al 0.125 0.375 0.250
Al 0.000 0.500 0.000
Al 0.000 0.000 0.000
Al 0.375 0.250 0.125
Al 0.500 0.000 0.500
Al 0.500 0.500 0.000
Al 0.125 0.750 0.375
Al 0.750 0.125 0.875
Al 0.750 0.625 0.375
Al 0.375 0.125 0.750
Al 0.625 0.875 0.250
Al 0.500 0.500 0.500
Al 0.500 0.000 0.000
Al 0.000 0.000 0.500
Al 0.250 0.375 0.625
Al 0.250 0.875 0.125
Al 0.000 0.500 0.500
Al 0.875 0.250 0.625
Al 0.625 0.750 0.875
Al 0.875 0.625 0.750
Hg 0.716 0.121 0.041
Hg 0.326 0.541 0.421
Hg 0.959 0.379 0.284
Hg 0.541 0.216 0.121
Hg 0.595 0.716 0.674
Hg 0.959 0.579 0.174
Hg 0.326 0.784 0.405
Hg 0.079 0.905 0.121
Hg 0.579 0.959 0.674
Hg 0.716 0.595 0.174
Hg 0.784 0.459 0.379
Hg 0.826 0.921 0.041
Hg 0.121 0.716 0.541
Hg 0.379 0.421 0.095
Hg 0.095 0.921 0.379
Hg 0.405 0.121 0.579
Hg 0.095 0.174 0.216
Hg 0.459 0.674 0.079
Hg 0.826 0.905 0.284
Hg 0.121 0.405 0.079
Hg 0.379 0.959 0.784
Hg 0.579 0.621 0.405
Hg 0.921 0.826 0.541
Hg 0.784 0.326 0.905
Hg 0.421 0.379 0.595
Hg 0.079 0.174 0.459
Hg 0.216 0.674 0.095
Hg 0.174 0.095 0.716
Hg 0.621 0.041 0.216
Hg 0.879 0.595 0.921
Hg 0.541 0.326 0.921
Hg 0.595 0.879 0.421
Hg 0.905 0.826 0.784
Hg 0.905 0.079 0.621
Hg 0.879 0.284 0.459
Hg 0.174 0.079 0.959
Hg 0.621 0.579 0.905
Hg 0.421 0.041 0.326
Hg 0.284 0.405 0.826
Hg 0.216 0.541 0.621
Hg 0.921 0.095 0.879
Hg 0.674 0.216 0.595
Hg 0.459 0.784 0.879
Hg 0.041 0.421 0.826
Hg 0.405 0.284 0.326
Hg 0.041 0.621 0.716
Hg 0.674 0.459 0.579
Hg 0.284 0.879 0.959

Computed properties:
DOS at the Fermi energy   14.76 states/eV/f.u.
SG   Ia-3d, No. 230
Total DFT energy (no corrections)   -1.507 eV per atom
Magnetic moment   0.00 μB per formula unit

=====

Entry 3:
Here is AlHgBi3 after structural relaxation from Alexandria via LeMat-Bulk. Energies are from PBE.

Cell: 5.529 5.529 5.529 Å, 90.00 90.00 90.00°
Sites, in units of the cell vectors:
Al 0.000 0.000 0.000
Bi 0.000 0.500 0.000
Bi 0.000 0.000 0.500
Bi 0.500 0.000 0.000
Hg 0.500 0.500 0.500

Computed properties:
DOS at the Fermi energy   2.68 states/eV/f.u.
SG   Pm-3m, No. 221
Total DFT energy (no corrections)   -2.664 eV per atom
Magnetic moment   0.00 μB per formula unit

=====

Entry 4:
Here is AlHgBi3 after structural relaxation from Alexandria via LeMat-Bulk. Energies are from PBE.

Cell: 5.751 5.751 5.751 Å, 90.00 90.00 90.00°
Sites, in units of the cell vectors:
Al 0.500 0.500 0.500
Bi 0.000 0.500 0.000
Bi 0.000 0.000 0.500
Bi 0.500 0.000 0.000
Hg 0.000 0.000 0.000

Computed properties:
DOS at the Fermi energy   5.01 states/eV/f.u.
SG   Pm-3m, No. 221
Total DFT energy (no corrections)   -2.326 eV per atom
Magnetic moment   0.00 μB per formula unit